No. 1
This record from the Alexandria database describes a geometry-optimized SrTiZnO2 structure. The functional is PBE.

extended XYZ file:
```
5
Lattice="4.004 0.000 0.000 0.000 6.461 0.000 0.000 0.000 4.004" Properties=species:S:1:pos:R:3 pbc="T T T"
O 2.002 0.000 0.000
O 0.000 0.000 2.002
Sr 0.000 3.231 0.000
Zn 2.002 3.231 2.002
Ti 0.000 0.000 0.000
```

DOS at the Fermi energy ... 1.90 states/eV/cell
Calculated total energy ... -25.52 eV/f.u.
Volume ... 104 Å³ per cell
Spin magnetization ... 0.6 μB per formula unit
SG ... P4/mmm (123)


No. 2
This record from the Alexandria database describes a geometry-optimized SrTi2ZnO6 structure. The functional is PBE.

extended XYZ file:
```
20
Lattice="6.320 -0.037 -0.038 1.996 6.962 -0.810 1.996 -1.068 6.927" Properties=species:S:1:pos:R:3 pbc="T T T"
O 4.381 2.571 1.990
Sr 3.576 6.104 -0.002
O 5.142 5.319 1.851
O 7.542 1.875 2.624
O 5.931 3.286 4.089
O 4.631 5.720 4.637
O 7.791 4.403 5.868
O 2.521 1.454 0.210
Sr 6.736 -0.247 6.081
Ti 7.802 3.148 4.531
Zn 3.576 0.552 5.348
O 5.170 0.538 4.227
O 5.681 0.137 1.442
Ti 5.670 1.428 2.745
O 8.303 1.634 5.365
O 2.770 3.983 3.454
Ti 4.642 4.429 3.333
Zn 6.736 5.305 0.731
O 2.009 4.223 0.713
Ti 2.510 2.709 1.548
```

DOS at the Fermi energy ... 0.00 states/eV/cell
Calculated total energy ... -75.94 eV/f.u.
Volume ... 301 Å³ per cell
Spin magnetization ... 0.0 μB per formula unit
SG ... C2/c (15)


No. 3
This record from the Alexandria database describes a geometry-optimized Sr3ZrTi2O9 structure. The functional is PBE.

extended XYZ file:
```
30
Lattice="5.694 -0.013 -0.001 -0.063 5.694 -0.001 2.809 2.834 12.000" Properties=species:S:1:pos:R:3 pbc="T T T"
O 4.132 7.141 8.025
O 3.056 3.084 6.075
O 1.373 4.270 -0.001
O 2.600 2.623 1.912
O 1.361 1.373 4.307
O 7.104 4.195 8.025
O 4.226 4.264 0.270
O 4.308 1.374 3.973
Sr 5.669 2.821 5.999
O 5.838 5.890 1.956
O 5.384 5.431 5.924
O 4.169 4.206 8.382
Sr 5.659 2.824 10.079
O 5.840 5.892 10.086
Zr 2.820 2.845 4.005
Ti 0.000 0.000 0.000
O 4.258 1.411 -0.001
O 4.214 4.251 11.728
O 4.271 4.309 3.617
Ti 5.622 5.672 3.939
O 1.336 4.320 3.973
O 2.602 2.625 10.042
Ti 2.818 2.843 8.059
Sr 5.666 2.831 1.919
Sr 2.781 5.691 1.919
Sr 2.773 5.684 10.079
Ti 2.815 2.840 -0.001
Zr 5.620 5.670 7.994
O 7.079 7.142 7.692
Sr 2.771 5.694 5.999
```

DOS at the Fermi energy ... 0.00 states/eV/cell
Excess energy over the best structure of this formula in the dataset ... 0 meV/atom
Volume ... 389 Å³ per cell
Spin magnetization ... 0.0 μB per formula unit
SG ... C2/m (12)


No. 4
This record from the Alexandria database describes a geometry-optimized Sr4ZrTi3O12 structure. The functional is PBE.

extended XYZ file:
```
20
Lattice="-2.486 3.033 0.917 -3.020 -2.620 0.481 3.805 -1.549 15.437" Properties=species:S:1:pos:R:3 pbc="T T T"
O 0.512 -0.208 2.076
O 0.660 0.742 8.177
O -1.510 -1.310 0.241
O 2.367 -0.963 9.601
O -0.270 1.120 4.406
O -0.537 -1.706 4.188
O 1.322 -2.463 11.731
O -1.243 1.517 0.459
Ti 0.972 -0.396 3.943
O 0.393 -2.085 7.959
Ti 1.903 -0.775 7.719
Zr 0.000 0.000 0.000
O 3.294 -1.341 13.361
Ti 2.833 -1.154 11.494
Sr -2.234 -0.005 2.805
O 1.439 -0.586 5.836
O 1.590 0.364 11.948
Sr -1.312 -0.380 6.544
Sr 0.534 -1.132 14.031
Sr -0.388 -0.756 10.292
```

DOS at the Fermi energy ... 0.00 states/eV/cell
Excess energy over the best structure of this formula in the dataset ... 9 meV/atom
Volume ... 259 Å³ per cell
Spin magnetization ... 0.0 μB per formula unit
SG ... P4/mmm (123)


No. 5
This record from the Alexandria database describes a geometry-optimized Sr5ZrTi4O15 structure. The functional is PBE.

extended XYZ file:
```
25
Lattice="4.012 0.000 0.000 0.000 4.012 0.000 0.000 0.000 19.911" Properties=species:S:1:pos:R:3 pbc="T T T"
O 0.000 2.006 15.816
Sr 2.006 2.006 6.060
O 0.000 0.000 9.955
Ti 0.000 0.000 4.087
Sr 2.006 2.006 2.183
Sr 2.006 2.006 17.727
O 2.006 0.000 8.004
O 2.006 0.000 15.816
O 2.006 0.000 0.000
O 0.000 0.000 17.758
Sr 2.006 2.006 13.850
O 2.006 0.000 4.094
Ti 0.000 0.000 11.910
O 2.006 0.000 11.907
Ti 0.000 0.000 15.824
Ti 0.000 0.000 8.000
O 0.000 0.000 6.053
O 0.000 2.006 0.000
Zr 0.000 0.000 0.000
O 0.000 0.000 13.858
O 0.000 2.006 4.094
Sr 2.006 2.006 9.955
O 0.000 2.006 8.004
O 0.000 0.000 2.153
O 0.000 2.006 11.907
```

DOS at the Fermi energy ... 0.00 states/eV/cell
Excess energy over the best structure of this formula in the dataset ... 13 meV/atom
Volume ... 321 Å³ per cell
Spin magnetization ... 0.0 μB per formula unit
SG ... P4/mmm (123)


No. 6
This record from the Alexandria database describes a geometry-optimized Sr4ZrTi3O12 structure. The functional is PBE.

extended XYZ file:
```
20
Lattice="-2.304 -0.801 3.211 -1.400 -4.997 -2.251 8.856 -4.803 5.157" Properties=species:S:1:pos:R:3 pbc="T T T"
Sr 5.385 -3.946 5.413
O 0.800 -1.938 0.091
O 6.656 -7.863 2.816
O 2.996 -3.047 1.390
Sr 1.166 -1.658 2.956
O 7.324 -5.476 3.890
O 3.276 -2.802 4.184
O 4.460 -6.753 1.516
Ti 4.428 -2.402 2.579
O 5.168 -4.225 2.655
O 4.709 -6.458 4.301
Zr 0.000 0.000 0.000
Sr 2.576 -5.301 3.059
Ti 1.559 -3.724 0.190
O 2.288 -5.576 0.252
O -1.152 -0.400 1.606
O 0.443 -4.144 1.817
O 0.132 -4.324 -0.984
Sr -1.852 -2.899 0.480
Ti 5.898 -6.077 2.717
```

DOS at the Fermi energy ... 0.00 states/eV/cell
Excess energy over the best structure of this formula in the dataset ... 0 meV/atom
Volume ... 258 Å³ per cell
Spin magnetization ... 0.0 μB per formula unit
SG ... Pmmm (47)


No. 7
This record from the Alexandria database describes a geometry-optimized Sr5ZrTi4O15 structure. The functional is PBE.

extended XYZ file:
```
25
Lattice="14.383 0.002 0.000 -13.278 5.529 0.000 0.000 0.000 4.017" Properties=species:S:1:pos:R:3 pbc="T T T"
Sr 6.108 1.656 2.008
O 8.821 1.114 2.008
O -7.716 4.417 2.008
O -6.639 2.764 0.000
O 5.029 3.329 0.000
O 0.000 0.000 2.008
O 2.281 3.793 0.000
O 4.469 0.526 0.000
O -2.337 3.343 2.008
O -1.176 1.738 0.000
O 7.192 0.001 0.000
O -0.648 4.379 0.000
Sr -5.003 3.875 2.008
Sr -10.364 4.947 2.008
Ti 3.389 2.199 0.000
O -3.364 5.006 0.000
Ti -2.284 3.332 0.000
O -3.924 2.202 0.000
Ti 8.820 1.114 0.000
O 3.442 2.188 2.008
O 1.754 1.152 0.000
Zr 0.000 0.000 0.000
Sr 11.469 0.585 2.008
Sr 0.553 2.766 2.008
Ti -7.715 4.417 0.000
```

DOS at the Fermi energy ... 0.00 states/eV/cell
Excess energy over the best structure of this formula in the dataset ... 8 meV/atom
Volume ... 320 Å³ per cell
Spin magnetization ... 0.0 μB per formula unit
SG ... Cmmm (65)


No. 8
This record from the Alexandria database describes a geometry-optimized Sr5ZrTi4O15 structure. The functional is PBE.

extended XYZ file:
```
25
Lattice="-9.927 3.108 -5.992 -8.729 -2.035 -7.985 -11.503 -1.476 -3.101" Properties=species:S:1:pos:R:3 pbc="T T T"
Zr 0.000 0.000 0.000
O -5.751 -0.738 -1.550
O -12.378 0.499 -8.725
O -19.092 -1.826 -10.631
O -17.781 -0.902 -8.353
O -16.988 1.402 -9.806
O -4.365 -1.018 -3.993
O -4.963 1.554 -2.996
Ti -18.043 -0.241 -10.217
Ti -24.141 -0.323 -13.670
Sr -21.207 -0.283 -12.009
Ti -12.115 -0.162 -6.860
O -11.067 1.423 -6.447
O -16.387 -1.183 -10.808
O -13.772 0.780 -6.270
O -10.487 -1.070 -7.413
Sr -27.073 -0.362 -15.330
Ti -6.018 -0.080 -3.408
O -18.328 0.396 -12.032
Sr -3.086 -0.041 -1.747
Sr -8.952 -0.120 -5.069
O -19.672 0.667 -9.665
O -13.170 -1.805 -7.271
Sr -15.079 -0.201 -8.539
O -11.831 -0.799 -5.045
```

DOS at the Fermi energy ... 0.00 states/eV/cell
Excess energy over the best structure of this formula in the dataset ... 0 meV/atom
Volume ... 319 Å³ per cell
Spin magnetization ... 0.0 μB per formula unit
SG ... R-3m (166)


No. 9
This record from the Alexandria database describes a geometry-optimized Sr4Zr3TiO12 structure. The functional is PBE.

extended XYZ file:
```
20
Lattice="5.789 0.002 0.001 0.004 5.814 -0.002 0.005 -0.002 8.217" Properties=species:S:1:pos:R:3 pbc="T T T"
O 4.068 4.635 4.383
Sr 5.774 3.040 6.227
Sr 2.920 0.155 6.222
O 1.603 1.387 0.255
O 1.729 1.178 3.833
O 1.178 4.082 3.806
O 3.255 2.972 1.974
Ti 2.896 2.908 0.000
Zr 0.000 0.000 0.000
O 1.386 4.206 0.271
Sr 2.877 5.658 1.995
O 4.620 1.731 4.411
Zr 0.002 -0.001 4.109
O 5.395 0.103 2.046
O 0.403 5.710 6.171
O 2.543 2.841 6.243
Zr 2.899 2.907 4.108
O 4.195 4.426 7.962
O 4.412 1.608 7.945
Sr 0.024 2.774 1.989
```

DOS at the Fermi energy ... 0.00 states/eV/cell
Calculated total energy ... -163.81 eV/f.u.
Volume ... 277 Å³ per cell
Spin magnetization ... 0.0 μB per formula unit
SG ... P-1 (2)


No. 10
This record from the Alexandria database describes a geometry-optimized Sr3ZrTi2O9 structure. The functional is PBE.

extended XYZ file:
```
15
Lattice="-1.375 3.410 4.340 -1.486 -5.489 0.115 6.044 -1.571 3.149" Properties=species:S:1:pos:R:3 pbc="T T T"
O 1.969 -1.841 5.797
Zr 3.022 -0.785 1.574
O 2.690 0.821 5.742
Sr 0.000 0.000 0.000
Sr 0.532 -0.062 3.944
O -0.173 -2.817 3.966
O -1.431 -1.039 2.227
Ti 3.655 -0.873 5.571
Ti -0.472 -2.777 2.032
O -0.743 -2.744 0.057
O 0.493 -4.470 1.862
Sr 2.651 -3.588 3.659
O -0.687 1.705 2.170
O 3.356 -0.833 3.638
O 1.214 -1.809 1.806
```

DOS at the Fermi energy ... 0.00 states/eV/cell
Excess energy over the best structure of this formula in the dataset ... 7 meV/atom
Volume ... 196 Å³ per cell
Spin magnetization ... 0.0 μB per formula unit
SG ... P-3m1 (164)


No. 11
This record from the Alexandria database describes a geometry-optimized SrTlO structure. The functional is PBE.

extended XYZ file:
```
3
Lattice="3.512 0.000 0.000 0.000 3.512 0.000 0.000 0.000 5.808" Properties=species:S:1:pos:R:3 pbc="T T T"
O 0.000 0.000 4.479
Tl 0.000 0.000 2.022
Sr 1.756 1.756 4.880
```

DOS at the Fermi energy ... 1.20 states/eV/cell
Calculated total energy ... -13.74 eV/f.u.
Volume ... 72 Å³ per cell
Spin magnetization ... 0.0 μB per formula unit
SG ... P4mm (99)


No. 12
This record from the Alexandria database describes a geometry-optimized SrTlO structure. The functional is PBE.

extended XYZ file:
```
6
Lattice="-5.425 -3.120 -0.602 1.005 -2.235 2.527 -2.613 3.710 4.321" Properties=species:S:1:pos:R:3 pbc="T T T"
Tl -3.590 2.391 3.543
O -1.307 1.855 2.161
Sr -1.802 -0.551 2.682
Tl -4.448 -1.801 0.176
O -4.019 0.295 1.860
Sr -5.230 -1.095 3.564
```

DOS at the Fermi energy ... 2.03 states/eV/cell
Calculated total energy ... -13.62 eV/f.u.
Volume ... 139 Å³ per cell
Spin magnetization ... 0.0 μB per formula unit
SG ... Pmma (51)


No. 13
This record from the Alexandria database describes a geometry-optimized Sr2TlO4 structure. The functional is PBE.

extended XYZ file:
```
14
Lattice="-6.106 -1.171 2.841 -0.309 -5.032 -2.738 6.273 -2.379 3.665" Properties=species:S:1:pos:R:3 pbc="T T T"
Tl -0.388 -4.481 -0.736
O -2.022 -5.957 -0.264
O -1.884 -3.893 4.361
O -1.897 -3.927 0.840
O 0.340 -1.591 -0.121
O 1.742 -4.690 -0.594
Sr 4.114 -3.952 3.793
Sr -4.257 -4.630 -0.026
O -0.482 -6.992 3.888
Tl 0.246 -4.101 4.503
O 1.880 -2.625 4.031
O 1.755 -4.655 2.927
Sr 1.827 -2.550 1.475
Sr -1.969 -6.032 2.292
```

Excess energy over the best structure of this formula in the dataset ... 43 meV/atom
Volume ... 263 Å³ per cell
Spin magnetization ... 1.0 μB per formula unit
SG ... P2_1/m (11)


No. 14
This record from the Alexandria database describes a geometry-optimized Sr2Tl2O5 structure. The functional is PBE.

extended XYZ file:
```
18
Lattice="5.737 0.000 -2.049 -0.945 5.620 -2.645 0.052 0.826 9.199" Properties=species:S:1:pos:R:3 pbc="T T T"
O 1.228 5.276 1.589
O 1.014 1.603 1.480
Tl 3.385 4.896 1.021
O 0.830 4.363 -2.062
Sr -0.024 3.524 0.278
Sr 1.339 5.549 4.094
O 1.055 2.083 7.623
Sr 3.286 0.897 0.489
O 4.786 1.170 2.497
O 3.944 1.964 6.654
Tl 2.390 2.810 -2.345
Tl 1.079 1.550 3.620
O 4.690 4.843 2.717
O 3.608 3.235 -0.313
Sr 4.649 2.923 4.305
Tl 5.731 0.000 -2.047
O 2.096 3.211 4.510
O 3.679 4.482 -3.142
```

DOS at the Fermi energy ... 0.38 states/eV/cell
Excess energy over the best structure of this formula in the dataset ... 36 meV/atom
Volume ... 311 Å³ per cell
Spin magnetization ... 0.0 μB per formula unit
SG ... Ima2 (46)


No. 15
This record from the Alexandria database describes a geometry-optimized Sr3TlO5 structure. The functional is PBE.

extended XYZ file:
```
18
Lattice="-1.373 -5.303 4.263 -3.415 -3.224 -5.111 7.698 1.462 -1.353" Properties=species:S:1:pos:R:3 pbc="T T T"
Sr -3.423 -6.566 0.135
O 0.430 -3.078 0.112
O -2.317 -6.982 -1.932
O -1.040 -3.773 -3.180
Sr -3.298 -4.445 -2.837
Tl 0.944 -3.013 -3.444
Sr 0.258 -5.664 -1.312
O -2.394 -4.263 -0.424
Sr -1.490 -4.082 1.989
O 2.480 -3.987 -2.313
O 0.000 0.000 0.000
O 3.950 -3.292 0.979
O 5.227 -0.083 -0.268
O 3.757 -0.778 -3.561
O -0.847 -6.286 1.360
Tl 1.965 -4.052 1.243
Sr 2.652 -1.401 -0.888
Sr -1.365 -1.961 -0.983
```

DOS at the Fermi energy ... 8.74 states/eV/cell
Calculated total energy ... -49.07 eV/f.u.
Volume ... 301 Å³ per cell
Spin magnetization ... 1.0 μB per formula unit
SG ... I4/mcm (140)


No. 16
This record from the Alexandria database describes a geometry-optimized Sr2Tl2O5 structure. The functional is PBE.

extended XYZ file:
```
18
Lattice="1.782 -5.844 0.000 1.782 5.844 0.000 0.000 0.000 14.065" Properties=species:S:1:pos:R:3 pbc="T T T"
Sr 1.782 5.457 10.754
O 1.782 -0.690 1.961
O 1.782 -2.118 10.662
Tl 1.782 3.065 5.499
O 1.782 0.690 8.994
Tl 1.782 0.146 14.049
O 1.782 -4.456 6.241
O 1.782 4.456 13.274
O 1.782 -3.951 0.466
O 1.782 -1.113 5.071
Sr 1.782 3.368 1.559
Sr 1.782 -3.368 8.592
Tl 1.782 -3.065 12.531
O 1.782 3.951 7.499
Sr 1.782 -5.457 3.721
Tl 1.782 -0.146 7.016
O 1.782 1.113 12.103
O 1.782 2.118 3.629
```

Excess energy over the best structure of this formula in the dataset ... 0 meV/atom
Volume ... 293 Å³ per cell
Spin magnetization ... 0.0 μB per formula unit
SG ... Cmc2_1 (36)


No. 17
This record from the Alexandria database describes a geometry-optimized Sr9Tl3O2 structure. The functional is PBE.

extended XYZ file:
```
14
Lattice="-2.936 -6.814 -1.293 7.398 0.748 1.198 -1.352 -1.137 9.061" Properties=species:S:1:pos:R:3 pbc="T T T"
Sr 3.283 -4.607 6.273
Sr 3.699 0.374 0.599
Sr -1.586 -5.874 2.071
Tl 0.000 0.000 0.000
Sr -1.468 -3.407 -0.647
Sr -0.174 -2.596 2.693
Sr 4.695 -1.330 6.895
Tl 3.496 -2.157 3.429
O 2.824 -2.722 7.930
Sr 2.231 -3.033 -0.048
Tl -0.387 -5.046 5.536
Sr 1.973 -5.514 2.647
Sr 1.137 -1.689 6.318
O 0.285 -4.481 1.035
```

DOS at the Fermi energy ... 14.01 states/eV/cell
Calculated total energy ... -45.40 eV/f.u.
Volume ... 453 Å³ per cell
Spin magnetization ... 1.3 μB per formula unit
SG ... P-3m1 (164)